Material: PmTl2Ag
Method: DFT, PBE
State: relaxed

```
PmTl2Ag
1.0
0.000 3.709 3.709
3.709 0.000 3.709
3.709 3.709 0.000
Pm Tl Ag
1 2 1
Cartesian
0.000 0.000 0.000 Pm
1.854 1.854 1.854 Tl
5.563 5.563 5.563 Tl
3.709 3.709 3.709 Ag
```

offset from the most stable computed form: 0.078 eV per atom
energy relative to the elements: -0.19 eV/atom
V: 25.50 A^3/atom
crystal system: cubic